(1)
Below is a geometry-optimized Be2CdPb structure, with properties calculated at the PBE-GGA level.

abc: 5.835 7.770 3.216
angles: 90.00 90.00 90.00
Space group Cmmm (No. 65)
Asymmetric unit:
Be 0.250 0.250 0.000 [4 per cell]
Cd 0.000 0.000 0.500 [2 per cell]
Pb 0.000 0.500 0.500 [2 per cell]

Distance to the lowest polymorph of the same formula   1.34 eV per formula unit


(2)
Below is a geometry-optimized KBaNb structure, with properties calculated at the PBE-GGA level.

abc: 6.3513 6.3513 7.4763
angles: 90.00 90.00 120.00
Space group P6_3/mmc (No. 194)
Asymmetric unit:
K 0.0000 0.0000 0.0000 [2 per cell]
Ba 0.3333 0.6667 0.2500 [2 per cell]
Nb 0.3333 0.6667 0.7500 [2 per cell]

Distance to the lowest polymorph of the same formula   2.52 eV per formula unit


(3)
Below is a geometry-optimized Er3PuTh2P6 structure, with properties calculated at the PBE-GGA level.

abc: 17.587 4.051 8.052
angles: 90.00 103.04 90.00
Space group C2/m (No. 12)
Asymmetric unit:
Er 0.000 0.000 0.000 [2 per cell]
Er 0.167 0.500 0.334 [4 per cell]
Pu 0.000 0.000 0.500 [2 per cell]
Th 0.165 0.500 0.830 [4 per cell]
P 0.003 0.500 0.251 [4 per cell]
P 0.165 0.000 0.089 [4 per cell]
P 0.167 0.000 0.577 [4 per cell]

Calculated total energy   -7.797 eV per atom


(4)
Below is a geometry-optimized Ir3Rh3W structure, with properties calculated at the PBE-GGA level.

abc: 11.3951 11.3951 2.7056
angles: 90.00 90.00 120.00
Space group P6_3/m (No. 176)
Asymmetric unit:
Ir 0.1599 0.7300 0.2500 [6 per cell]
Rh 0.0529 0.4352 0.2500 [6 per cell]
W 0.3333 0.6667 0.2500 [2 per cell]

Calculated total energy   -8.204 eV per atom


(5)
Below is a geometry-optimized MgAl2Tc2 structure, with properties calculated at the PBE-GGA level.

abc: 3.749 3.749 12.055
angles: 90.00 90.00 90.00
Space group I4/mmm (No. 139)
Asymmetric unit:
Mg 0.000 0.000 0.000 [2 per cell]
Al 0.000 0.500 0.250 [4 per cell]
Tc 0.000 0.000 0.398 [4 per cell]

Distance to the lowest polymorph of the same formula   1.24 eV per formula unit


(6)
Below is a geometry-optimized Rb3TlAg structure, with properties calculated at the PBE-GGA level.

abc: 6.741 6.741 6.741
angles: 90.00 90.00 90.00
Space group Pm-3m (No. 221)
Asymmetric unit:
Rb 0.000 0.000 0.500 [3 per cell]
Tl 0.500 0.500 0.500 [1 per cell]
Ag 0.000 0.000 0.000 [1 per cell]

Distance to the lowest polymorph of the same formula   0.64 eV per formula unit


(7)
Below is a geometry-optimized Tb3NdSm3 structure, with properties calculated at the PBE-GGA level.

abc: 8.7372 8.7372 22.0186
angles: 90.00 90.00 120.00
Space group R-3 (No. 148, hexagonal axes)
Asymmetric unit:
Tb 0.0039 0.2324 0.0587 [18 per cell]
Nd 0.0000 0.0000 0.3474 [6 per cell]
Sm 0.0517 0.4483 0.8808 [18 per cell]

Distance to the lowest polymorph of the same formula   0.00 eV per formula unit


(8)
Below is a geometry-optimized TbY3Er5 structure, with properties calculated at the PBE-GGA level.

abc: 15.138 11.279 9.985
angles: 90.00 130.58 90.00
Space group C2/m (No. 12)
Asymmetric unit:
Tb 0.249 0.000 0.101 [4 per cell]
Y 0.000 0.000 0.000 [2 per cell]
Y 0.000 0.500 0.500 [2 per cell]
Y 0.011 0.000 0.314 [4 per cell]
Y 0.022 0.500 0.865 [4 per cell]
Er 0.000 0.240 0.500 [4 per cell]
Er 0.156 0.249 0.255 [8 per cell]
Er 0.220 0.000 0.730 [4 per cell]
Er 0.222 0.500 0.535 [4 per cell]

Distance to the lowest polymorph of the same formula   2.12 eV per formula unit